[1]
Compound: TmTcNO
Source: the Open Quantum Materials Database
Functional: GGA-PBE
Structure: relaxed

Symmetry: No. 26
E above lowest polymorph (eV/atom): 0.541
Total energy (eV/atom): -8.23

abc: 3.2293 5.6076 5.6213
angles: 90.00 90.00 90.00
Element x y z (fractional)
Tc 0.0000 0.2617 0.9649
Tc 0.0000 0.7383 0.4649
O 0.5000 0.0477 0.1390
O 0.5000 0.9523 0.6390
Tm 0.5000 0.7192 0.9417
N 0.0000 0.5295 0.2004
Tm 0.5000 0.2808 0.4417
N 0.0000 0.4705 0.7004


[2]
Compound: CuOs3S5
Source: the Open Quantum Materials Database
Functional: GGA-PBE
Structure: relaxed

Symmetry: No. 191
Total energy (eV/atom): -6.02

abc: 5.6272 5.6272 6.4958
angles: 90.00 90.00 120.00
Element x y z (fractional)
Os 0.0000 0.5000 0.5000
S 0.0000 0.0000 0.5000
Os 0.5000 0.5000 0.5000
Os 0.5000 0.0000 0.5000
Cu 0.0000 0.0000 0.0000
S 0.6667 0.3333 0.2410
S 0.6667 0.3333 0.7590
S 0.3333 0.6667 0.7590
S 0.3333 0.6667 0.2410


[3]
Compound: Li3ZrO4
Source: the Open Quantum Materials Database
Functional: GGA-PBE
Structure: relaxed

Symmetry: No. 13
Total energy (eV/atom): -6.51

abc: 5.1535 6.0793 5.3017
angles: 90.00 109.33 90.00
Each line ends with the local moment (μB).
Element x y z (fractional)
O 0.2386 0.1145 0.9967  0.16
O 0.2495 0.3774 0.4960  0.27
Li 0.5000 0.4056 0.2500  0.00
O 0.7505 0.6226 0.5040  0.27
O 0.7614 0.8855 0.0033  0.16
O 0.2386 0.8855 0.4967  0.18
O 0.7614 0.1145 0.5033  0.18
O 0.2495 0.6226 0.9960  0.27
Li 0.5000 0.5944 0.7500  0.00
Li 0.5000 0.1402 0.7500  0.00
Zr 0.0000 0.8507 0.7500  -0.04
Zr 0.0000 0.1493 0.2500  -0.04
Li 0.0000 0.3738 0.7500  0.00
Li 0.5000 0.8598 0.2500  0.00
O 0.7505 0.3774 0.0040  0.27
Li 0.0000 0.6262 0.2500  0.00